# 1
DFT (PBE) results for NiBPCl2 after structural relaxation.

E_form (uncorrected) = 97.2 kJ per mole of atoms
crystal system = tetragonal
space-group type = P4/mmm, No. 123
energy above the lowest structure with this stoichiometry = 68.9 meV/atom
calculated volume = 19.33 Å³/atom
magnetic moment = 0.7 μB/f.u.

Cell and atoms, written as POSCAR:
```
NiBPCl2
1.0
-0.817 -4.253 -1.862
3.270 -1.869 2.835
-3.040 -0.738 3.021
Ni B P Cl
1 1 1 2
direct
0.000 0.000 0.000
0.500 0.500 0.500
0.000 0.000 0.500
0.000 0.500 0.000
0.500 0.000 0.000
```

# 2
DFT (PBE) results for Pa4PRhSe2 after structural relaxation.

E_form (uncorrected) = -103.9 kJ per mole of atoms
crystal system = monoclinic
space-group type = P2/m, No. 10
calculated volume = 23.35 Å³/atom
magnetic moment = 0.0 μB/f.u.

Cell and atoms, written as POSCAR:
```
Pa4PRhSe2
1.0
-3.669 -1.046 -0.714
-0.875 -1.625 6.874
-2.313 5.824 3.357
Pa P Rh Se
4 1 1 2
direct
0.000 0.727 0.757
0.000 0.273 0.243
0.500 0.732 0.260
0.500 0.268 0.740
0.000 0.500 0.500
0.500 0.500 0.000
0.000 0.000 0.000
0.500 0.000 0.500
```

# 3
DFT (PBE) results for TbTlPt2 after structural relaxation.

crystal system = tetragonal
space-group type = P4/mmm, No. 123
energy relative to the elements = -675 meV/atom
calculated volume = 20.78 Å³/atom
magnetic moment = 0.0 μB/f.u.

Cell and atoms, written as POSCAR:
```
TbTlPt2
1.0
-1.724 -1.568 2.857
-2.268 -1.744 -2.326
3.882 -4.719 -0.247
Tl Tb Pt
1 1 2
direct
0.500 0.500 0.500
0.500 0.500 0.000
0.000 0.000 0.755
0.000 0.000 0.245
```

The lowest calculated volume belongs to which entry? NiBPCl2

Which of these has the highest calculated volume? Pa4PRhSe2